KCrSb2I: optimized geometry, PBE.

Structure (extended XYZ):
```
5
Lattice="6.096 0.000 0.000 0.000 6.096 0.000 0.000 0.000 6.157" Properties=species:S:1:pos:R:3 pbc="T T T"
K 0.000 0.000 0.000
Sb 3.048 0.000 0.000
Sb 0.000 3.048 0.000
I 0.000 0.000 3.079
Cr 3.048 3.048 3.079
```

Summary:
space group	No. 123
uncorrected formation energy	1.236	eV/atom